Entry 1:
{"formula": "LaBeZn2", "functional": "PBE", "state": "relaxed", "m_tot_mub_per_cell": 0.000, "energy_ev_per_atom": -2.770, "density_g_cm3": 5.78, "cell": [[-2.572, -0.514, -3.276], [-2.299, -2.597, 2.213], [-3.303, 2.749, 2.161]], "species": ["Be", "Zn", "Zn", "La"], "frac_coords": [[0.500, 0.250, 0.250], [0.000, 0.410, 0.429], [0.000, 0.090, 0.071], [0.500, 0.750, 0.750]]}

***

Entry 2:
{"formula": "NaSc2Pd", "functional": "PBE", "state": "relaxed", "m_tot_mub_per_cell": 2.369, "energy_ev_per_atom": -4.758, "density_g_cm3": 3.79, "cell": [[-2.031, -1.358, 7.495], [0.861, -7.748, -1.170], [2.385, -4.350, 4.004]], "species": ["Na", "Na", "Sc", "Sc", "Sc", "Sc", "Pd", "Pd"], "frac_coords": [[0.250, 0.750, 0.500], [0.500, 0.500, 0.000], [0.681, 0.125, 0.250], [0.375, 0.319, 0.750], [0.875, 0.931, 0.750], [0.069, 0.625, 0.250], [0.000, 0.000, 0.000], [0.750, 0.250, 0.500]]}

***

Entry 3:
{"formula": "Sr2SbW", "functional": "PBE", "state": "relaxed", "m_tot_mub_per_cell": 1.265, "energy_ev_per_atom": -4.516, "density_g_cm3": 7.09, "cell": [[4.698, 0.000, 0.000], [0.000, 3.309, 0.006], [0.000, 3.305, 7.246]], "species": ["Sr", "Sr", "W", "Sb"], "frac_coords": [[0.000, 0.996, 0.004], [0.000, 0.504, 0.496], [0.500, 0.250, 0.250], [0.500, 0.750, 0.750]]}

***

Entry 4:
{"formula": "ZrGaPd2", "functional": "PBE", "state": "relaxed", "m_tot_mub_per_cell": 0.000, "energy_ev_per_atom": -6.112, "density_g_cm3": 9.32, "cell": [[-1.393, -2.137, 1.674], [1.403, -2.177, -1.613], [5.445, 0.077, 4.631]], "species": ["Pd", "Pd", "Ga", "Zr"], "frac_coords": [[0.000, 0.000, 0.216], [0.000, 0.000, 0.784], [0.500, 0.500, 0.000], [0.500, 0.500, 0.500]]}

***

Entry 5:
{"formula": "BaP2Br", "functional": "PBE", "state": "relaxed", "m_tot_mub_per_cell": 0.000, "energy_ev_per_atom": -4.104, "density_g_cm3": 3.50, "cell": [[-3.821, 1.479, 1.779], [-1.077, -4.177, 1.158], [3.632, 0.320, 13.142]], "species": ["Br", "Br", "P", "P", "P", "P", "Ba", "Ba"], "frac_coords": [[0.500, 0.500, 0.000], [0.250, 0.750, 0.500], [0.366, 0.625, 0.250], [0.375, 0.616, 0.750], [0.875, 0.634, 0.750], [0.384, 0.125, 0.250], [0.750, 0.250, 0.500], [0.000, 0.000, 0.000]]}

***

Entry 6:
{"formula": "Na2ZnCdO4", "functional": "PBE", "state": "relaxed", "m_tot_mub_per_cell": 2.023, "energy_ev_per_atom": -4.111, "density_g_cm3": 4.83, "cell": [[3.245, 0.000, 0.000], [0.000, 5.589, 0.110], [0.000, -1.939, 5.413]], "species": ["Na", "Na", "O", "O", "O", "O", "Cd", "Zn"], "frac_coords": [[0.000, 0.500, 0.500], [0.500, 0.000, 0.500], [0.000, 0.240, 0.783], [0.500, 0.775, 0.788], [0.000, 0.760, 0.217], [0.500, 0.225, 0.212], [0.500, 0.500, 0.000], [0.000, 0.000, 0.000]]}

***

Entry 7:
{"formula": "LaVPCl2", "functional": "PBE", "state": "relaxed", "m_tot_mub_per_cell": 4.548, "energy_ev_per_atom": -4.301, "density_g_cm3": 3.41, "cell": [[4.913, 0.000, 0.000], [0.000, 5.881, 0.000], [0.000, 0.000, 4.913]], "species": ["V", "P", "Cl", "Cl", "La"], "frac_coords": [[0.500, 0.500, 0.500], [0.000, 0.000, 0.000], [0.500, 0.000, 0.000], [0.000, 0.000, 0.500], [0.000, 0.500, 0.000]]}

***

Entry 8:
{"formula": "ZnSn2Sb2", "functional": "PBE", "state": "relaxed", "m_tot_mub_per_cell": 0.000, "energy_ev_per_atom": -3.315, "density_g_cm3": 6.56, "cell": [[-6.672, 2.161, 4.291], [3.940, -1.739, 7.003], [1.368, 3.853, 0.187]], "species": ["Sn", "Sn", "Sn", "Sn", "Zn", "Zn", "Sb", "Sb", "Sb", "Sb"], "frac_coords": [[0.357, 0.143, 0.500], [0.857, 0.357, 0.500], [0.643, 0.857, 0.500], [0.143, 0.643, 0.500], [0.000, 0.000, 0.000], [0.500, 0.500, 0.000], [0.164, 0.336, 0.000], [0.664, 0.164, 0.000], [0.336, 0.836, 0.000], [0.836, 0.664, 0.000]]}

***

Entry 9:
{"formula": "MnNbMo3", "functional": "PBE", "state": "relaxed", "m_tot_mub_per_cell": 0.037, "energy_ev_per_atom": -8.078, "density_g_cm3": 7.00, "cell": [[4.692, 0.000, 0.000], [0.000, 4.692, 0.000], [0.000, 0.000, 4.692]], "species": ["Mo", "Mo", "Mo", "Nb", "Mn"], "frac_coords": [[0.500, 0.000, 0.000], [0.000, 0.000, 0.500], [0.000, 0.500, 0.000], [0.000, 0.000, 0.000], [0.500, 0.500, 0.500]]}

***

Entry 10:
{"formula": "TaNiRh2", "functional": "PBE", "state": "relaxed", "m_tot_mub_per_cell": 0.000, "energy_ev_per_atom": -8.020, "density_g_cm3": 11.91, "cell": [[-0.493, -1.199, 3.549], [3.731, 0.158, 0.571], [0.859, 7.727, 4.740]], "species": ["Ni", "Ni", "Ta", "Ta", "Rh", "Rh", "Rh", "Rh"], "frac_coords": [[0.500, 0.500, 0.000], [0.250, 0.750, 0.500], [0.000, 0.000, 0.000], [0.750, 0.250, 0.500], [0.875, 0.851, 0.750], [0.375, 0.399, 0.750], [0.149, 0.625, 0.250], [0.601, 0.125, 0.250]]}

***

Entry 11:
{"formula": "CeY2C2", "functional": "PBE", "state": "relaxed", "m_tot_mub_per_cell": 0.113, "energy_ev_per_atom": -7.661, "density_g_cm3": 5.29, "cell": [[3.581, 0.000, 0.608], [1.739, 3.130, 0.608], [0.205, 0.121, 9.631]], "species": ["C", "C", "Y", "Y", "Ce"], "frac_coords": [[0.390, 0.390, 0.830], [0.610, 0.610, 0.170], [0.768, 0.768, 0.697], [0.232, 0.232, 0.303], [0.000, 0.000, 0.000]]}

***

Entry 12:
{"formula": "Ba2LiHfS5", "functional": "PBE", "state": "relaxed", "m_tot_mub_per_cell": 0.422, "energy_ev_per_atom": -5.610, "density_g_cm3": 4.50, "cell": [[4.025, 0.000, 0.000], [-2.013, 8.996, 0.000], [0.000, 0.000, 12.649]], "species": ["S", "S", "S", "S", "S", "S", "S", "S", "S", "S", "Hf", "Hf", "Ba", "Ba", "Ba", "Ba", "Li", "Li"], "frac_coords": [[0.344, 0.688, 0.004], [0.713, 0.426, 0.148], [0.498, 0.997, 0.780], [0.693, 0.385, 0.881], [0.932, 0.864, 0.549], [0.502, 0.003, 0.280], [0.068, 0.136, 0.049], [0.307, 0.615, 0.381], [0.287, 0.574, 0.648], [0.656, 0.312, 0.504], [0.796, 0.591, 0.515], [0.204, 0.409, 0.015], [0.129, 0.257, 0.311], [0.871, 0.743, 0.811], [0.889, 0.778, 0.188], [0.111, 0.222, 0.688], [0.560, 0.120, 0.948], [0.440, 0.880, 0.448]]}